# 1
Here is a geometry-optimized SrSmNi2As2 structure from Alexandria via LeMat-Bulk. Energies are from PBE.

Output
* E_form: -0.931 eV/atom

Unit cell a=4.105 b=4.105 c=8.476 alpha=90.00 beta=90.00 gamma=120.00
Fractional positions:
Sr1 0.000 0.000 0.000
Sm1 0.000 0.000 0.500
Ni1 0.333 0.667 0.729
Ni2 0.667 0.333 0.271
As1 0.333 0.667 0.264
As2 0.667 0.333 0.736

# 2
Here is a geometry-optimized Er3AlAg2 structure from Alexandria via LeMat-Bulk. Energies are from PBE.

Output
* E_form: -0.362 eV/atom

Unit cell a=3.564 b=3.564 c=10.972 alpha=90.00 beta=90.00 gamma=90.00
Fractional positions:
Er1 0.000 0.000 0.000
Er2 0.000 0.000 0.335
Er3 0.000 0.000 0.665
Al1 0.500 0.500 0.500
Ag1 0.500 0.500 0.171
Ag2 0.500 0.500 0.829

# 3
Here is a geometry-optimized LaCo2 structure from Alexandria via LeMat-Bulk. Energies are from PBE.

Output
* E_form: 0.273 eV/atom

Unit cell a=9.735 b=9.735 c=3.776 alpha=90.00 beta=90.00 gamma=161.19
Fractional positions:
La1 0.117 0.883 0.750
La2 0.883 0.117 0.250
Co1 0.247 0.753 0.250
Co2 0.472 0.528 0.750
Co3 0.528 0.472 0.250
Co4 0.753 0.247 0.750

# 4
Here is a geometry-optimized LiPaTa4N8 structure from Alexandria via LeMat-Bulk. Energies are from PBE.

Output
* formation energy without anion corrections: -1.026 eV per atom

Unit cell a=6.239 b=6.239 c=6.239 alpha=61.45 beta=61.45 gamma=61.45
Fractional positions:
Li1 0.000 0.000 0.000
Pa1 0.399 0.399 0.399
Ta1 0.004 0.004 0.491
Ta2 0.004 0.491 0.004
Ta3 0.491 0.004 0.004
Ta4 0.623 0.623 0.623
N1 0.233 0.233 0.801
N2 0.233 0.801 0.233
N3 0.244 0.244 0.244
N4 0.245 0.730 0.730
N5 0.730 0.245 0.730
N6 0.730 0.730 0.245
N7 0.754 0.754 0.754
N8 0.801 0.233 0.233

Number 1: total magnetic moment 0.000 μB per cell, mass density 6.782 g cm⁻³. Number 2: total magnetic moment 0.000 μB per cell, mass density 8.868 g cm⁻³. Number 3: total magnetic moment 0.569 μB per cell, mass density 7.390 g cm⁻³. Number 4: total magnetic moment 0.000 μB per cell, mass density 10.057 g cm⁻³.